A geometry-optimized Cs2SrNb structure, computed with PBE-GGA.

The structure in POSCAR format:
```
Cs2SrNb
1.0
-2.680 2.680 14.638
2.680 -2.680 14.638
2.680 2.680 -14.638
Cs Nb Sr
4 2 2
Cartesian
-1.340 1.400 10.978 Cs
1.400 1.340 18.297 Cs
1.280 1.340 3.659 Cs
4.020 1.280 -3.659 Cs
0.000 0.000 0.000 Nb
0.000 2.680 7.319 Nb
0.000 0.000 14.638 Sr
2.680 0.000 7.319 Sr
```

Summary:
Symmetry: I-42d
Density of states at the Fermi level in states/eV/atom: 1.214
Polymorph energy (0 for the lowest one) in kJ/mol of atoms: 0.00
Energy in eV/atom: -2.126
Energy of formation in eV per atom: 1.238

A geometry-optimized CsSrNb structure, computed with PBE-GGA.

The structure in POSCAR format:
```
CsSrNb
1.0
-4.327 0.074 6.125
-0.787 -5.459 -5.082
8.533 -6.919 6.112
Cs Nb Sr
2 2 2
Cartesian
3.252 -6.960 6.973 Cs
0.166 -5.345 0.182 Cs
4.266 -3.460 3.056 Nb
0.000 0.000 0.000 Nb
6.400 -5.189 4.584 Sr
2.133 -1.730 1.528 Sr
```

Summary:
Symmetry: P6_3/mmc
Density of states at the Fermi level in states/eV/atom: 0.850
Polymorph energy (0 for the lowest one) in kJ/mol of atoms: 149.93
Energy in eV/atom: -2.185
Energy of formation in eV per atom: 2.017

A geometry-optimized CsSrNb3 structure, computed with PBE-GGA.

The structure in POSCAR format:
```
CsSrNb3
1.0
5.175 0.000 0.000
0.000 5.175 0.000
0.000 0.000 5.175
Sr Cs Nb
1 1 3
Cartesian
2.588 2.588 2.588 Sr
0.000 0.000 0.000 Cs
0.000 0.000 2.588 Nb
0.000 2.588 0.000 Nb
2.588 0.000 0.000 Nb
```

Summary:
Symmetry: Pm-3m
Density of states at the Fermi level in states/eV/atom: 0.602
Polymorph energy (0 for the lowest one) in kJ/mol of atoms: 0.00
Energy in eV/atom: -4.283
Energy of formation in eV per atom: 2.266

A geometry-optimized CsSrNb structure, computed with PBE-GGA.

The structure in POSCAR format:
```
CsSrNb
1.0
9.664 0.013 0.017
4.824 8.537 0.004
-0.242 0.783 3.560
Sr Nb Cs
2 2 2
Cartesian
7.301 1.143 3.002 Sr
5.553 4.010 0.508 Sr
12.761 6.514 2.344 Nb
4.904 7.176 1.177 Nb
8.699 7.279 3.537 Cs
1.573 2.595 1.686 Cs
```

Summary:
Symmetry: P1
Density of states at the Fermi level in states/eV/atom: 0.982
Polymorph energy (0 for the lowest one) in kJ/mol of atoms: 29.70
Energy in eV/atom: -3.431
Energy of formation in eV per atom: 0.771

A geometry-optimized CsSrNb structure, computed with PBE-GGA.

The structure in POSCAR format:
```
CsSrNb
1.0
-0.681 -3.803 -0.480
10.746 -2.081 0.301
2.459 0.738 6.658
Cs Sr Nb
2 2 2
Cartesian
7.679 -2.502 5.261 Cs
8.309 -2.168 1.311 Cs
1.016 -3.042 2.843 Sr
3.875 -1.895 5.549 Sr
4.486 -3.627 2.600 Nb
3.742 -1.397 1.744 Nb
```

Summary:
Symmetry: P1
Density of states at the Fermi level in states/eV/atom: 1.381
Polymorph energy (0 for the lowest one) in kJ/mol of atoms: 27.28
Energy in eV/atom: -3.456
Energy of formation in eV per atom: 0.746

A geometry-optimized CsSrNb structure, computed with PBE-GGA.

The structure in POSCAR format:
```
CsSrNb
1.0
-2.296 -3.310 -2.086
5.964 -4.367 0.365
-5.291 -5.949 15.264
Sr Nb Cs
4 4 4
Cartesian
-2.489 -6.113 5.040 Sr
0.529 -2.356 0.688 Sr
0.867 -7.513 8.504 Sr
-2.151 -11.270 12.855 Sr
-0.198 -8.710 11.576 Nb
-1.086 -10.072 9.782 Nb
-1.424 -4.916 1.967 Nb
-0.536 -3.554 3.761 Nb
3.068 -5.037 2.153 Cs
0.939 -7.796 3.942 Cs
-2.561 -5.830 9.601 Cs
-4.690 -8.589 11.390 Cs
```

Summary:
Symmetry: Cmcm
Density of states at the Fermi level in states/eV/atom: 1.421
Polymorph energy (0 for the lowest one) in kJ/mol of atoms: 34.96
Energy in eV/atom: -3.376
Energy of formation in eV per atom: 0.825

A geometry-optimized CsSrNb structure, computed with PBE-GGA.

The structure in POSCAR format:
```
CsSrNb
1.0
-2.392 5.694 1.106
0.998 -3.962 4.761
8.519 3.380 1.027
Nb Cs Sr
2 2 2
Cartesian
5.248 2.082 0.633 Nb
3.271 1.298 0.394 Nb
2.997 4.165 2.838 Cs
-1.262 2.475 2.324 Cs
5.901 1.650 4.270 Sr
2.355 0.243 3.842 Sr
```

Summary:
Symmetry: P-6m2
Density of states at the Fermi level in states/eV/atom: 0.947
Polymorph energy (0 for the lowest one) in kJ/mol of atoms: 51.80
Energy in eV/atom: -3.202
Energy of formation in eV per atom: 1.000

A geometry-optimized CsSrNb structure, computed with PBE-GGA.

The structure in POSCAR format:
```
CsSrNb
1.0
-0.409 -9.601 -3.288
5.376 4.086 -3.886
2.932 -1.222 1.775
Cs Nb Sr
2 2 2
Cartesian
2.815 -1.414 -0.665 Cs
4.621 -4.922 -2.287 Cs
2.423 -7.187 -5.145 Nb
4.489 -6.482 -5.673 Nb
2.080 -8.156 -1.390 Sr
5.609 -0.109 -3.231 Sr
```

Summary:
Symmetry: P1
Density of states at the Fermi level in states/eV/atom: 1.141
Polymorph energy (0 for the lowest one) in kJ/mol of atoms: 32.23
Energy in eV/atom: -3.405
Energy of formation in eV per atom: 0.797

A geometry-optimized CsSrNb3 structure, computed with PBE-GGA.

The structure in POSCAR format:
```
CsSrNb3
1.0
-3.386 0.301 4.083
-2.146 -4.643 -1.438
3.486 -2.565 3.081
Nb Sr Cs
3 1 1
Cartesian
-1.073 -2.321 -0.719 Nb
-1.693 0.150 2.041 Nb
1.743 -1.283 1.540 Nb
0.000 0.000 0.000 Sr
-1.023 -3.454 2.863 Cs
```

Summary:
Symmetry: Pm-3m
Density of states at the Fermi level in states/eV/atom: 1.760
Polymorph energy (0 for the lowest one) in kJ/mol of atoms: 47.13
Energy in eV/atom: -3.794
Energy of formation in eV per atom: 2.755

A geometry-optimized CsSr3Nb structure, computed with PBE-GGA.

The structure in POSCAR format:
```
CsSr3Nb
1.0
-1.869 -2.564 -5.128
-0.874 -5.203 2.921
-5.666 1.649 1.241
Sr Cs Nb
3 1 1
Cartesian
-2.833 0.824 0.621 Sr
-0.935 -1.282 -2.564 Sr
-0.437 -2.601 1.460 Sr
0.000 0.000 0.000 Cs
-4.205 -3.059 -0.483 Nb
```

Summary:
Symmetry: Pm-3m
Density of states at the Fermi level in states/eV/atom: 0.911
Polymorph energy (0 for the lowest one) in kJ/mol of atoms: 99.72
Energy in eV/atom: -1.408
Energy of formation in eV per atom: 1.786

A geometry-optimized Cs2SrNb structure, computed with PBE-GGA.

The structure in POSCAR format:
```
Cs2SrNb
1.0
0.000 4.502 4.502
4.502 0.000 4.502
4.502 4.502 0.000
Cs Nb Sr
2 1 1
Cartesian
2.251 2.251 2.251 Cs
6.753 6.753 6.753 Cs
4.502 4.502 4.502 Nb
0.000 0.000 0.000 Sr
```

Summary:
Symmetry: Fm-3m
Density of states at the Fermi level in states/eV/atom: 0.433
Polymorph energy (0 for the lowest one) in kJ/mol of atoms: 7.60
Energy in eV/atom: -2.047
Energy of formation in eV per atom: 1.317

A geometry-optimized CsSrNb structure, computed with PBE-GGA.

The structure in POSCAR format:
```
CsSrNb
1.0
10.626 0.000 0.000
0.000 8.088 0.000
0.000 0.000 6.171
Sr Nb Cs
4 4 4
Cartesian
0.000 0.000 0.000 Sr
0.000 4.044 0.000 Sr
5.313 4.044 3.086 Sr
5.313 0.000 3.086 Sr
8.835 2.022 3.088 Nb
7.103 6.066 0.002 Nb
3.522 2.022 6.169 Nb
1.790 6.066 3.083 Nb
8.865 6.066 3.087 Cs
1.761 2.022 3.084 Cs
3.552 6.066 6.170 Cs
7.074 2.022 0.001 Cs
```

Summary:
Symmetry: Cmcm
Density of states at the Fermi level in states/eV/atom: 0.780
Polymorph energy (0 for the lowest one) in kJ/mol of atoms: 94.48
Energy in eV/atom: -2.759
Energy of formation in eV per atom: 1.442